DFT (GGA-PBE) results for a relaxed Li2ErInCl6 crystal.

abc: 6.9137 6.9077 7.5044
angles: 62.55 62.56 59.99
With the nearest neighbours (Å) after each atom.
Fractional coordinates of all 10 atoms:
Li  0.5316  0.5307  0.4072  3 Cl 2.49
Li  0.0141  0.0149  0.9553  3 Cl 2.45
Er  0.3218  0.3216  0.0350  6 Cl 2.63-2.64
In  0.8008  0.8004  0.5974  6 Cl 3.08-3.29
Cl  0.5812  0.2651  0.2384  1 Li 2.49, 1 Er 2.64
Cl  0.2655  0.9150  0.2391  1 Li 2.49, 1 Er 2.64
Cl  0.9155  0.5814  0.2384  1 Li 2.49, 1 Er 2.64
Cl  0.3319  0.7334  0.7682  1 Li 2.45, 1 Er 2.63
Cl  0.7329  0.1671  0.7676  1 Li 2.45, 1 Er 2.63
Cl  0.1664  0.3319  0.7687  1 Li 2.45, 1 Er 2.63

Summary:
As for the raw total energy: -0.1470 Ha/atom.